No. 1
! GGA-PBE Ca2NdTmAu4, optimized geometry; values from VASP
&SYSTEM
  ibrav = 0, nat = 8, ntyp = 4
/
ATOMIC_SPECIES
Au 196.97 Au.upf
Ca 40.08 Ca.upf
Nd 144.24 Nd.upf
Tm 168.93 Tm.upf
CELL_PARAMETERS angstrom
-4.131 -2.806 -1.127
0.423 -4.041 -3.114
0.311 -7.216 5.198
ATOMIC_POSITIONS angstrom
Au -2.258 -5.248 -1.912
Au -1.140 -8.816 2.869
Au -3.116 -8.736 -1.710
Au -0.282 -5.327 2.667
Ca -2.552 -10.537 0.703
Ca -0.846 -3.527 0.254
Nd 0.000 0.000 0.000
Tm -1.699 -7.032 0.479
! total DFT energy (no corrections): -4.099 eV per atom
! Fermi-level density of states: 5.67 states/eV/cell
! space group: R-3m, No. 166

No. 2
! GGA-PBE CaNdZnAu, optimized geometry; values from VASP
&SYSTEM
  ibrav = 0, nat = 4, ntyp = 4
/
ATOMIC_SPECIES
Nd 144.24 Nd.upf
Zn 65.41 Zn.upf
Ca 40.08 Ca.upf
Au 196.97 Au.upf
CELL_PARAMETERS angstrom
5.194 0.000 0.000
2.597 4.498 0.000
2.597 1.499 4.241
ATOMIC_POSITIONS angstrom
Nd 7.791 4.498 3.181
Zn 0.000 0.000 0.000
Ca 2.597 1.499 1.060
Au 5.194 2.999 2.120
! total DFT energy (no corrections): -3.371 eV per atom
! Fermi-level density of states: 3.43 states/eV/cell
! space group: F-43m, No. 216

No. 3
! GGA-PBE CaNi2Au, optimized geometry; values from VASP
&SYSTEM
  ibrav = 0, nat = 4, ntyp = 3
/
ATOMIC_SPECIES
Ca 40.08 Ca.upf
Ni 58.69 Ni.upf
Au 196.97 Au.upf
CELL_PARAMETERS angstrom
-3.427 -2.574 2.831
-0.831 -4.793 1.650
1.207 -0.738 4.039
ATOMIC_POSITIONS angstrom
Ca -0.824 -2.099 2.132
Ni 1.062 -0.919 4.061
Ni -2.133 -5.886 6.370
Au -1.475 -3.991 4.255
! total DFT energy (no corrections): -4.253 eV per atom
! Fermi-level density of states: 5.22 states/eV/cell
! space group: Cm, No. 8

No. 4
! GGA-PBE CaNiAu2, optimized geometry; values from VASP
&SYSTEM
  ibrav = 0, nat = 8, ntyp = 3
/
ATOMIC_SPECIES
Au 196.97 Au.upf
Ca 40.08 Ca.upf
Ni 58.69 Ni.upf
CELL_PARAMETERS angstrom
-2.755 -3.279 2.117
3.583 -1.096 2.964
-2.330 3.654 8.019
ATOMIC_POSITIONS angstrom
Au 1.633 0.199 3.876
Au -2.176 -1.654 3.944
Au -1.853 1.227 7.575
Au -0.606 -1.216 10.804
Ca 0.414 -2.188 2.541
Ca 0.834 0.185 6.762
Ni 0.000 0.000 0.000
Ni -2.335 -0.907 6.338
! total DFT energy (no corrections): -3.668 eV per atom
! Fermi-level density of states: 4.78 states/eV/cell
! space group: I-42d, No. 122

No. 5
! GGA-PBE CaNi2Au, optimized geometry; values from VASP
&SYSTEM
  ibrav = 0, nat = 4, ntyp = 3
/
ATOMIC_SPECIES
Ca 40.08 Ca.upf
Ni 58.69 Ni.upf
Au 196.97 Au.upf
CELL_PARAMETERS angstrom
3.837 0.000 0.000
0.000 3.793 0.012
0.000 1.910 4.762
ATOMIC_POSITIONS angstrom
Ca 1.918 4.523 3.920
Ni 0.000 2.626 4.752
Ni 1.918 0.705 1.288
Au 0.000 2.609 1.962
! total DFT energy (no corrections): -4.260 eV per atom
! Fermi-level density of states: 4.76 states/eV/cell
! space group: Pm, No. 6

No. 6
! GGA-PBE CaNi2Au2, optimized geometry; values from VASP
&SYSTEM
  ibrav = 0, nat = 10, ntyp = 3
/
ATOMIC_SPECIES
Au 196.97 Au.upf
Ca 40.08 Ca.upf
Ni 58.69 Ni.upf
CELL_PARAMETERS angstrom
-3.088 -6.655 -0.339
4.951 -2.542 4.793
-1.900 0.761 2.367
ATOMIC_POSITIONS angstrom
Au 1.851 -2.496 4.357
Au -1.090 -2.229 1.910
Au -1.888 -5.940 2.463
Au 1.054 -6.207 4.910
Ca 0.000 0.000 0.000
Ca 0.932 -4.598 2.227
Ni 3.186 -4.777 4.094
Ni 0.343 -7.437 2.667
Ni 1.521 -1.760 1.787
Ni -1.323 -4.420 0.359
! total DFT energy (no corrections): -4.218 eV per atom
! Fermi-level density of states: 6.47 states/eV/cell
! ΔE to the lowest computed polymorph: 0.0 kJ per mole of atoms
! space group: P4/mbm, No. 127